# 1
Zr2MoPt | GGA-PBE | optimized geometry

Lattice parameters (Å, degrees): 3.375 3.375 6.572 90.00 90.00 90.00
Element x y z (fractional)
Zr 0.000 0.000 0.243
Zr 0.000 0.000 0.757
Mo 0.500 0.500 0.000
Pt 0.500 0.500 0.500

Computed properties:
space group	No. 123
energy of formation	-587	meV/atom
density of states at the Fermi level	2.54	states/eV per cell
crystal system	tetragonal
mass density	10.501	g/cm3


# 2
BaZrGa2O6 | GGA-PBE | optimized geometry

Lattice parameters (Å, degrees): 7.060 7.060 7.060 44.51 44.51 44.51
Element x y z (fractional)
Ba 0.000 0.000 0.000
Zr 0.500 0.500 0.500
Ga 0.178 0.178 0.178
Ga 0.822 0.822 0.822
O 0.101 0.793 0.438
O 0.207 0.562 0.899
O 0.438 0.101 0.793
O 0.562 0.899 0.207
O 0.793 0.438 0.101
O 0.899 0.207 0.562

Computed properties:
formation energy (no corrections)	-2.435	eV/atom
space group	No. 148
density of states at the Fermi level	0.00	states/eV per cell
crystal system	trigonal
mass density	4.900	g/cm3


# 3
Pr6MgSi2 | GGA-PBE | optimized geometry

Lattice parameters (Å, degrees): 8.932 8.932 8.932 110.91 110.46 107.08
Element x y z (fractional)
Pr 0.039 0.246 0.793
Pr 0.178 0.276 0.454
Pr 0.178 0.724 0.902
Pr 0.323 0.024 0.702
Pr 0.323 0.621 0.298
Pr 0.453 0.246 0.207
Pr 0.547 0.754 0.793
Pr 0.677 0.379 0.702
Pr 0.677 0.976 0.298
Pr 0.822 0.276 0.098
Pr 0.822 0.724 0.546
Pr 0.961 0.754 0.207
Mg 0.000 0.000 0.000
Mg 0.500 0.500 0.000
Si 0.113 0.613 0.500
Si 0.360 0.000 0.360
Si 0.640 0.000 0.640
Si 0.887 0.387 0.500

Computed properties:
formation energy (no corrections)	-0.345	eV/atom
space group	No. 71
density of states at the Fermi level	18.33	states/eV per cell
crystal system	orthorhombic
mass density	5.614	g/cm3